[1]
A geometry-optimized ScCo2Ag structure, computed with GGA-PBE.

Cell lengths 4.7569, 4.7569, 3.9162 Å; angles 114.30, 114.30, 48.54 degrees
Closest atoms and distances in Å follow each position.
Fractional coordinates of all 4 atoms:
Sc: 0.0000 0.0000 0.0000  8 Co 2.72-2.78, 4 Ag 2.77
Co: 0.2500 0.2500 0.7601  4 Co 2.71-2.82, 4 Sc 2.72-2.78, 4 Ag 2.72-2.78
Co: 0.7500 0.7500 0.2399  4 Co 2.71-2.82, 4 Sc 2.72-2.78, 4 Ag 2.72-2.78
Ag: 0.5000 0.5000 0.5000  8 Co 2.72-2.78, 4 Sc 2.77

The total energy is -5.76 eV/atom. Its calculated density is 7.59 g cm⁻³.



[2]
A geometry-optimized Sc2CoAg2 structure, computed with GGA-PBE.

Cell lengths 8.1796, 8.1796, 8.1796 Å; angles 154.52, 154.52, 36.34 degrees
Closest atoms and distances in Å follow each position.
Fractional coordinates of all 5 atoms:
Sc: 0.0919 0.0919 0.0000  1 Sc 2.86, 4 Co 2.92, 4 Ag 3.05
Sc: 0.9081 0.9081 0.0000  1 Sc 2.86, 4 Co 2.92, 4 Ag 3.05
Co: 0.5000 0.5000 0.0000  8 Sc 2.92
Ag: 0.2500 0.7500 0.5000  4 Ag 2.55
Ag: 0.7500 0.2500 0.5000  4 Ag 2.55

Its calculated density is 5.99 g cm⁻³. For the energy above the most stable polymorph in this dataset, the calculation gives 52 meV per atom.



[3]
A geometry-optimized ScCoAg structure, computed with GGA-PBE.

Cell lengths 4.3388, 4.3388, 4.3388 Å; angles 60.00, 60.00, 60.00 degrees
Closest atoms and distances in Å follow each position.
Fractional coordinates of all 3 atoms:
Sc: 0.0000 0.0000 0.0000  4 Ag 2.66, 4 Co 2.66
Co: 0.2500 0.2500 0.2500  4 Sc 2.66
Ag: 0.7500 0.7500 0.7500  4 Sc 2.66

The total energy is -4.91 eV/atom. Its calculated density is 6.09 g cm⁻³.